# Sc2TcPd

An optimized crystal structure of Sc2TcPd (GGA-PBE, the Alexandria database).

abc: 6.517 6.517 6.517
angles: 90.00 90.00 90.00
Positions (direct):
Sc: 0.250 0.250 0.250
Sc: 0.250 0.250 0.750
Sc: 0.250 0.750 0.250
Sc: 0.250 0.750 0.750
Sc: 0.750 0.250 0.250
Sc: 0.750 0.250 0.750
Sc: 0.750 0.750 0.250
Sc: 0.750 0.750 0.750
Tc: 0.000 0.000 0.000
Tc: 0.000 0.500 0.500
Tc: 0.500 0.000 0.500
Tc: 0.500 0.500 0.000
Pd: 0.000 0.000 0.500
Pd: 0.000 0.500 0.000
Pd: 0.500 0.000 0.000
Pd: 0.500 0.500 0.500

## Properties
Its total energy is -7.60 eV per atom. The density of states at the Fermi level is 3.02 states/eV/f.u. As for the symmetry: Fm-3m, No. 225. For the volume, the calculation gives 69.20 Å³/f.u. The calculation puts the formation energy from the elements at -0.540 eV/atom. The distance to the lowest polymorph of the same formula comes out at 39 meV/atom.